Run 1
Below is a PBEsol-optimized structure of LiReAu3, with properties calculated at the SCAN level.

D(E_F), states/eV/f.u.: 2.80
Total magnetization, μB per cell: 1.63

```
data_LiReAu3
_chemical_formula_sum 'Li1 Re1 Au3'
_cell_length_a 4.267
_cell_length_b 4.267
_cell_length_c 4.267
_cell_angle_alpha 90.00
_cell_angle_beta 90.00
_cell_angle_gamma 90.00
_space_group_name_H-M_alt 'P m -3 m'
_space_group_IT_number 221
_space_group_name_Hall '-P 4 2 3'
loop_
_atom_site_label
_atom_site_fract_x
_atom_site_fract_y
_atom_site_fract_z
Li1 0.000 0.000 0.000
Re1 0.500 0.500 0.500
Au1 0.000 0.000 0.500
```

***

Run 2
Below is a PBEsol-optimized structure of LiReAu3, with properties calculated at the SCAN level.

D(E_F), states/eV/f.u.: 3.27
Total magnetization, μB per cell: 0.00

```
data_LiReAu3
_chemical_formula_sum 'Li1 Re1 Au3'
_cell_length_a 4.982
_cell_length_b 4.982
_cell_length_c 4.982
_cell_angle_alpha 90.00
_cell_angle_beta 90.00
_cell_angle_gamma 90.00
_space_group_name_H-M_alt 'P m -3 m'
_space_group_IT_number 221
_space_group_name_Hall '-P 4 2 3'
loop_
_atom_site_label
_atom_site_fract_x
_atom_site_fract_y
_atom_site_fract_z
Li1 0.000 0.000 0.000
Re1 0.500 0.500 0.500
Au1 0.000 0.500 0.500
```

***

Preferred: run 2; penalty for the next structure: 136 meV/atom.

***

Run 1
Below is a PBEsol-optimized structure of LiRu2Au, with properties calculated at the SCAN level.

D(E_F), states/eV/f.u.: 3.11
Total magnetization, μB per cell: 0.00

```
data_LiRu2Au
_chemical_formula_sum 'Li2 Ru4 Au2'
_cell_length_a 3.900
_cell_length_b 3.900
_cell_length_c 7.193
_cell_angle_alpha 90.00
_cell_angle_beta 90.00
_cell_angle_gamma 90.00
_space_group_name_H-M_alt 'I -4 m 2'
_space_group_IT_number 119
_space_group_name_Hall 'I -4 -2'
loop_
_atom_site_label
_atom_site_fract_x
_atom_site_fract_y
_atom_site_fract_z
Li1 0.000 0.000 0.000
Ru1 0.000 0.000 0.500
Ru2 0.000 0.500 0.750
Au1 0.000 0.500 0.250
```

***

Run 2
Below is a PBEsol-optimized structure of LiRu2Au, with properties calculated at the SCAN level.

D(E_F), states/eV/f.u.: 3.57
Total magnetization, μB per cell: 0.00

```
data_LiRu2Au
_chemical_formula_sum 'Li1 Ru2 Au1'
_cell_length_a 3.291
_cell_length_b 3.291
_cell_length_c 5.123
_cell_angle_alpha 90.00
_cell_angle_beta 90.00
_cell_angle_gamma 90.00
_space_group_name_H-M_alt 'P 4/m m m'
_space_group_IT_number 123
_space_group_name_Hall '-P 4 2'
loop_
_atom_site_label
_atom_site_fract_x
_atom_site_fract_y
_atom_site_fract_z
Li1 0.000 0.000 0.000
Ru1 0.500 0.500 0.225
Au1 0.000 0.000 0.500
```

***

Run 3
Below is a PBEsol-optimized structure of LiRu2Au, with properties calculated at the SCAN level.

D(E_F), states/eV/f.u.: 2.87
Total magnetization, μB per cell: 0.00

```
data_LiRu2Au
_chemical_formula_sum 'Li2 Ru4 Au2'
_cell_length_a 2.712
_cell_length_b 4.153
_cell_length_c 10.577
_cell_angle_alpha 90.00
_cell_angle_beta 90.00
_cell_angle_gamma 90.00
_space_group_name_H-M_alt 'I m m m'
_space_group_IT_number 71
_space_group_name_Hall '-I 2 2'
loop_
_atom_site_label
_atom_site_fract_x
_atom_site_fract_y
_atom_site_fract_z
Li1 0.000 0.000 0.000
Ru1 0.000 0.500 0.217
Au1 0.000 0.000 0.500
```

***

Preferred: run 1; penalty for the next structure: 9 meV/atom.